TiBiS2 PBE optimized geometry; space group = No. 156
1.0
3.4284 0.0000 0.0000
-1.7142 2.9691 0.0000
0.0000 0.0000 8.4416
Ti Bi S
1 1 2
Direct
0.0000 0.0000 0.0000
0.3333 0.6667 0.5013
0.3333 0.6667 0.8281
0.6667 0.3333 0.1710

TiBiS2 PBE optimized geometry; space group = No. 15
1.0
5.8084 -5.3307 0.0000
5.8084 5.3307 0.0000
-1.8457 0.0000 14.5956
Ti Bi S
8 8 16
Direct
0.0481 0.7383 0.8002
0.2617 0.9519 0.6998
0.2891 0.3969 0.6915
0.3969 0.2891 0.1915
0.6031 0.7109 0.8085
0.7109 0.6031 0.3085
0.7383 0.0481 0.3002
0.9519 0.2617 0.1998
0.1987 0.2558 0.3716
0.2558 0.1987 0.8716
0.3647 0.5966 0.4432
0.4034 0.6353 0.0568
0.5966 0.3647 0.9432
0.6353 0.4034 0.5568
0.7442 0.8013 0.1284
0.8013 0.7442 0.6284
0.0129 0.9871 0.2500
0.0558 0.4318 0.7792
0.1609 0.2463 0.0948
0.1832 0.6732 0.6375
0.2463 0.1609 0.5948
0.3268 0.8168 0.8624
0.4250 0.5750 0.2500
0.4318 0.0558 0.2792
0.5682 0.9442 0.7208
0.5750 0.4250 0.7500
0.6732 0.1832 0.1376
0.7537 0.8391 0.4052
0.8168 0.3268 0.3624
0.8391 0.7537 0.9052
0.9442 0.5682 0.2208
0.9871 0.0129 0.7500

TiBiS2 PBE optimized geometry; space group = No. 166
1.0
1.8687 1.0789 8.3209
-1.8687 1.0789 8.3209
0.0000 -2.1578 8.3209
Ti Bi S
1 1 2
Direct
0.0000 0.0000 0.0000
0.5000 0.5000 0.5000
0.0927 0.0927 0.0927
0.9073 0.9073 0.9073

TiBi2S5 PBE optimized geometry; space group = No. 63
1.0
2.6314 -6.7106 0.0000
2.6314 6.7106 0.0000
0.0000 0.0000 12.5426
Ti Bi S
2 4 10
Direct
0.1858 0.8142 0.7500
0.8142 0.1858 0.2500
0.1464 0.8536 0.0671
0.1464 0.8536 0.4329
0.8536 0.1464 0.5671
0.8536 0.1464 0.9329
0.0547 0.9453 0.6253
0.0547 0.9453 0.8747
0.2774 0.7226 0.2500
0.2993 0.7007 0.5949
0.2993 0.7007 0.9051
0.7007 0.2993 0.0949
0.7007 0.2993 0.4051
0.7226 0.2774 0.7500
0.9453 0.0547 0.1253
0.9453 0.0547 0.3747

Ti2Bi2S PBE optimized geometry; space group = No. 127; excess energy over the best structure of this formula in the dataset = 534 meV/atom
1.0
7.9994 0.0000 0.0000
0.0000 7.9994 0.0000
0.0000 0.0000 3.6455
Ti Bi S
4 4 2
Direct
0.1210 0.3790 0.0000
0.3790 0.8790 0.0000
0.6210 0.1210 0.0000
0.8790 0.6210 0.0000
0.1702 0.6702 0.5000
0.3298 0.1702 0.5000
0.6702 0.8298 0.5000
0.8298 0.3298 0.5000
0.0000 0.0000 0.5000
0.5000 0.5000 0.5000

TiBi2S6 PBE optimized geometry; space group = No. 136
1.0
6.1767 0.0000 0.0000
0.0000 6.1767 0.0000
0.0000 0.0000 11.9995
Ti Bi S
2 4 12
Direct
0.0000 0.0000 0.0000
0.5000 0.5000 0.5000
0.0000 0.0000 0.3334
0.0000 0.0000 0.6666
0.5000 0.5000 0.1666
0.5000 0.5000 0.8334
0.1844 0.1844 0.1466
0.1844 0.1844 0.8534
0.2152 0.2152 0.5000
0.2848 0.7152 0.0000
0.3156 0.6844 0.3534
0.3156 0.6844 0.6466
0.6844 0.3156 0.3534
0.6844 0.3156 0.6466
0.7152 0.2848 0.0000
0.7848 0.7848 0.5000
0.8156 0.8156 0.1466
0.8156 0.8156 0.8534

In order of appearance, uncorrected energy = -0.218, -0.210, -0.184, -0.188, -0.195, -0.178 hartree per atom.